(1)
{
  "formula": "Hf6Fe2Au",
  "functional": "PBE-GGA",
  "state": "relaxed",
  "lattice": [[-1.3228, -1.1695, -7.4761], [0.7517, -6.4671, 4.0770], [-5.8874, 3.4787, 3.4996]],
  "species": ["Fe", "Fe", "Fe", "Fe", "Hf", "Hf", "Hf", "Hf", "Hf", "Hf", "Hf", "Hf", "Hf", "Hf", "Hf", "Hf", "Au", "Au"],
  "fractional_positions": [[0.5000, 0.3672, 0.8672], [0.5000, 0.6328, 0.1328], [0.6674, 0.0000, 0.6674], [0.3326, 0.0000, 0.3326], [0.3081, 0.9767, 0.6686], [0.7971, 0.7650, 0.5620], [0.2029, 0.7650, 0.9679], [0.1123, 0.3001, 0.8122], [0.8877, 0.6999, 0.1878], [0.7971, 0.2350, 0.0321], [0.4879, 0.3001, 0.1878], [0.2029, 0.2350, 0.4380], [0.6919, 0.0233, 0.3314], [0.6919, 0.3605, 0.6686], [0.3081, 0.6395, 0.3314], [0.5121, 0.6999, 0.8122], [0.0000, 0.0000, 0.0000], [0.0000, 0.5000, 0.5000]],
  "m_tot_mub_per_fu": 0.0,
  "e_form_mev_per_atom": -247
}

(2)
{
  "formula": "BeSbP",
  "functional": "PBE-GGA",
  "state": "relaxed",
  "lattice": [[3.5650, 0.0000, 0.0000], [-1.7825, 3.0874, 0.0000], [0.0000, 0.0000, 4.8238]],
  "species": ["P", "Sb", "Be"],
  "fractional_positions": [[0.6667, 0.3333, 0.2165], [0.3333, 0.6667, 0.6892], [0.0000, 0.0000, 0.0943]],
  "e_form_raw_ev_per_fu": 0.4,
  "de_polymorph_ev_per_atom": 0.000,
  "m_tot_mub_per_fu": 0.0
}

(3)
{
  "formula": "Tb3Pr3Y8",
  "functional": "PBE-GGA",
  "state": "relaxed",
  "lattice": [[-2.7069, -3.8572, 3.2206], [-5.0618, -5.7535, -6.0876], [6.8299, -6.0262, 3.5807]],
  "species": ["Y", "Y", "Y", "Y", "Y", "Y", "Y", "Y", "Tb", "Tb", "Tb", "Pr", "Pr", "Pr"],
  "fractional_positions": [[0.6599, 0.5612, 0.1189], [0.1610, 0.4421, 0.2358], [0.3401, 0.8811, 0.4388], [0.6599, 0.1189, 0.5612], [0.8390, 0.5579, 0.7642], [0.3401, 0.4388, 0.8811], [0.1610, 0.2358, 0.4421], [0.8390, 0.7642, 0.5579], [0.5000, 0.0000, 0.0000], [0.0000, 0.8126, 0.1874], [0.0000, 0.1874, 0.8126], [0.8087, 0.1913, 0.1913], [0.1913, 0.8087, 0.8087], [0.5000, 0.5000, 0.5000]],
  "de_polymorph_ev_per_atom": 0.018,
  "m_tot_mub_per_fu": 0.0,
  "e_form_mev_per_atom": 127
}

(4)
{
  "formula": "CdInPt4",
  "functional": "PBE-GGA",
  "state": "relaxed",
  "lattice": [[2.9461, 1.3879, 4.2826], [-0.8279, 4.7363, 2.4141], [-2.2613, 0.1738, 4.8788]],
  "species": ["Cd", "Pt", "Pt", "Pt", "Pt", "In"],
  "fractional_positions": [[0.7500, 0.7500, 0.7500], [0.3750, 0.8751, 0.3750], [0.3750, 0.3750, 0.8751], [0.3750, 0.3750, 0.3750], [0.8751, 0.3750, 0.3750], [0.0000, 0.0000, 0.0000]],
  "de_polymorph_ev_per_atom": 0.065,
  "m_tot_mub_per_fu": 0.0,
  "e_form_mev_per_atom": -175
}

(5)
{
  "formula": "Re2NiRh",
  "functional": "PBE-GGA",
  "state": "relaxed",
  "lattice": [[2.7211, 0.0000, 0.0000], [1.3605, 2.3565, 0.0000], [1.3605, 0.7855, 8.6657]],
  "species": ["Re", "Re", "Ni", "Rh"],
  "fractional_positions": [[0.0816, 0.0816, 0.7553], [0.2518, 0.2518, 0.2446], [0.6660, 0.6660, 0.0020], [0.5006, 0.5006, 0.4981]],
  "de_polymorph_ev_per_atom": 0.114,
  "m_tot_mub_per_fu": 0.0,
  "e_form_mev_per_atom": 30
}

(6)
{
  "formula": "LaEuHgPt",
  "functional": "PBE-GGA",
  "state": "relaxed",
  "lattice": [[-3.7564, 3.3229, -1.7228], [-3.8691, -1.7805, -3.1592], [-4.9536, -0.4107, 1.8476]],
  "species": ["Hg", "La", "Pt", "Eu"],
  "fractional_positions": [[0.7500, 0.7500, 0.7500], [0.5000, 0.5000, 0.5000], [0.2500, 0.2500, 0.2500], [0.0000, 0.0000, 0.0000]],
  "m_tot_mub_per_fu": 7.0,
  "e_form_mev_per_atom": -737
}

(7)
{
  "formula": "Tb4MgGa12",
  "functional": "PBE-GGA",
  "state": "relaxed",
  "lattice": [[7.1561, 0.0000, -2.5301], [-3.5781, 6.1974, -2.5301], [0.0000, 0.0000, 7.5902]],
  "species": ["Ga", "Ga", "Ga", "Ga", "Ga", "Ga", "Ga", "Ga", "Ga", "Ga", "Ga", "Ga", "Tb", "Tb", "Tb", "Tb", "Mg"],
  "fractional_positions": [[0.6892, 0.6892, 0.0000], [0.7500, 0.5000, 0.2500], [0.2500, 0.5000, 0.7500], [0.3108, 0.3108, 0.0000], [0.3108, 0.0000, 0.3108], [0.0000, 0.6892, 0.6892], [0.6892, 0.0000, 0.6892], [0.7500, 0.2500, 0.5000], [0.5000, 0.7500, 0.2500], [0.5000, 0.2500, 0.7500], [0.0000, 0.3108, 0.3108], [0.2500, 0.7500, 0.5000], [0.0000, 0.5000, 0.0000], [0.5000, 0.0000, 0.0000], [0.0000, 0.0000, 0.5000], [0.5000, 0.5000, 0.5000], [0.0000, 0.0000, 0.0000]],
  "m_tot_mub_per_fu": 0.0,
  "e_form_mev_per_atom": -509
}

(8)
{
  "formula": "LiTmAg4",
  "functional": "PBE-GGA",
  "state": "relaxed",
  "lattice": [[5.0861, 0.3585, 0.2861], [0.5467, 4.4355, 2.5390], [0.2109, -0.0044, 5.1651]],
  "species": ["Ag", "Ag", "Ag", "Ag", "Tm", "Li"],
  "fractional_positions": [[0.0013, 0.8374, 0.8243], [0.0013, 0.1663, 0.1665], [0.5013, 0.6752, 0.1488], [0.5013, 0.3286, 0.8420], [0.0013, 0.5019, 0.4954], [0.5012, 0.0018, 0.4956]],
  "de_polymorph_ev_per_atom": 0.000,
  "m_tot_mub_per_fu": 0.0,
  "e_form_mev_per_atom": -178
}

(9)
{
  "formula": "LiPm2Tc",
  "functional": "PBE-GGA",
  "state": "relaxed",
  "lattice": [[-0.3344, -3.5218, -3.5890], [-0.4875, -4.8526, 1.2691], [-4.3685, -2.3847, -0.7909]],
  "species": ["Li", "Pm", "Pm", "Tc"],
  "fractional_positions": [[0.5000, 0.5000, 0.5000], [0.7500, 0.7500, 0.7500], [0.2500, 0.2500, 0.2500], [0.0000, 0.0000, 0.0000]],
  "de_polymorph_ev_per_atom": 0.003,
  "m_tot_mub_per_fu": 0.0,
  "e_form_mev_per_atom": 49
}

(10)
{
  "formula": "Ta2CuMoBr",
  "functional": "PBE-GGA",
  "state": "relaxed",
  "lattice": [[-2.1384, -1.7606, 3.8450], [-3.0208, -1.7352, -2.4746], [2.5809, -3.9565, -0.3763]],
  "species": ["Br", "Cu", "Ta", "Ta", "Mo"],
  "fractional_positions": [[0.0000, 0.0000, 0.0000], [0.0000, 0.5000, 0.0000], [0.5000, 0.0000, 0.0000], [0.0000, 0.0000, 0.5000], [0.5000, 0.5000, 0.5000]],
  "e_form_raw_ev_per_fu": 7.9,
  "m_tot_mub_per_fu": 0.0
}

(11)
{
  "formula": "Ag2SnHg",
  "functional": "PBE-GGA",
  "state": "relaxed",
  "lattice": [[4.8070, 0.0000, 0.0000], [0.0000, 6.0641, 0.0000], [0.0000, 0.0000, 5.8816]],
  "species": ["Ag", "Ag", "Ag", "Ag", "Hg", "Hg", "Sn", "Sn"],
  "fractional_positions": [[0.5000, 0.8764, 0.4402], [0.0000, 0.4047, 0.0433], [0.0000, 0.5953, 0.5433], [0.5000, 0.1236, 0.9402], [0.0000, 0.8985, 0.1384], [0.0000, 0.1015, 0.6384], [0.5000, 0.3645, 0.3781], [0.5000, 0.6355, 0.8781]],
  "de_polymorph_ev_per_atom": 0.000,
  "m_tot_mub_per_fu": 0.0,
  "e_form_mev_per_atom": 56
}

(12)
{
  "formula": "PmTmP2",
  "functional": "PBE-GGA",
  "state": "relaxed",
  "lattice": [[-1.7037, 1.0707, 3.4573], [-2.2131, -1.6552, -2.8922], [1.3268, -6.3559, 2.6222]],
  "species": ["Tm", "P", "P", "Pm"],
  "fractional_positions": [[0.0000, 0.5000, 0.0000], [0.3333, 0.1666, 0.2388], [0.6667, 0.8334, 0.7612], [0.0000, 0.5000, 0.5000]],
  "de_polymorph_ev_per_atom": 0.197,
  "m_tot_mub_per_fu": 0.0,
  "e_form_mev_per_atom": -1379
}

(13)
{
  "formula": "BeCoH3",
  "functional": "PBE-GGA",
  "state": "relaxed",
  "lattice": [[3.0953, 0.0000, 0.0000], [0.0000, 3.0953, 0.0000], [0.0000, 0.0000, 3.0953]],
  "species": ["H", "H", "H", "Be", "Co"],
  "fractional_positions": [[0.5000, 0.0000, 0.0000], [0.0000, 0.5000, 0.0000], [0.0000, 0.0000, 0.5000], [0.5000, 0.5000, 0.5000], [0.0000, 0.0000, 0.0000]],
  "de_polymorph_ev_per_atom": 0.196,
  "m_tot_mub_per_fu": 0.0
}

(14)
{
  "formula": "ThVCu4",
  "functional": "PBE-GGA",
  "state": "relaxed",
  "lattice": [[-1.8894, -4.4045, -1.8522], [3.1769, -3.5514, -1.9222], [0.7757, -4.3981, 2.5407]],
  "species": ["Cu", "Cu", "Cu", "Cu", "Th", "V"],
  "fractional_positions": [[0.6229, 0.1313, 0.6229], [0.6229, 0.6229, 0.6229], [0.1313, 0.6229, 0.6229], [0.6229, 0.6229, 0.1313], [0.0000, 0.0000, 0.0000], [0.2500, 0.2500, 0.2500]],
  "m_tot_mub_per_fu": 3.7,
  "e_form_mev_per_atom": 29
}

(15)
{
  "formula": "KPt2Se",
  "functional": "PBE-GGA",
  "state": "relaxed",
  "lattice": [[5.4193, -0.0005, 0.0000], [2.2832, 4.9149, 0.0000], [-3.8513, -2.4572, 2.9153]],
  "species": ["Pt", "Pt", "Se", "K"],
  "fractional_positions": [[0.0000, 0.0000, 0.0000], [0.5000, 0.5000, 0.0000], [0.2500, 0.7500, 0.5000], [0.7500, 0.2500, 0.5000]],
  "e_form_raw_ev_per_fu": 1.4,
  "m_tot_mub_per_fu": 0.0
}

(16)
{
  "formula": "K3CrP",
  "functional": "PBE-GGA",
  "state": "relaxed",
  "lattice": [[6.2704, 0.0000, 0.0000], [0.0000, 6.2704, 0.0000], [0.0000, 0.0000, 6.2704]],
  "species": ["K", "K", "K", "P", "Cr"],
  "fractional_positions": [[0.0000, 0.5000, 0.0000], [0.0000, 0.0000, 0.5000], [0.5000, 0.0000, 0.0000], [0.0000, 0.0000, 0.0000], [0.5000, 0.5000, 0.5000]],
  "de_polymorph_ev_per_atom": 0.000,
  "m_tot_mub_per_fu": 6.0,
  "e_form_mev_per_atom": 554
}

(17)
{
  "formula": "KTl2N2",
  "functional": "PBE-GGA",
  "state": "relaxed",
  "lattice": [[4.7272, 0.0000, 0.0000], [0.0000, 4.7272, 0.0000], [2.3636, 2.3636, 6.4265]],
  "species": ["N", "N", "K", "Tl", "Tl"],
  "fractional_positions": [[0.7850, 0.7850, 0.4300], [0.2150, 0.2150, 0.5700], [0.0000, 0.0000, 0.0000], [0.7500, 0.2500, 0.5000], [0.2500, 0.7500, 0.5000]],
  "e_form_raw_ev_per_fu": 4.2,
  "de_polymorph_ev_per_atom": 0.000,
  "m_tot_mub_per_fu": 0.0
}

(18)
{
  "formula": "Sb2TePdO",
  "functional": "PBE-GGA",
  "state": "relaxed",
  "lattice": [[5.1550, 0.0000, 0.0000], [0.0000, 5.1550, 0.0000], [0.0000, 0.0000, 5.3902]],
  "species": ["Pd", "Sb", "Sb", "O", "Te"],
  "fractional_positions": [[0.0000, 0.0000, 0.0000], [0.0000, 0.5000, 0.0000], [0.5000, 0.0000, 0.0000], [0.5000, 0.5000, 0.5000], [0.0000, 0.0000, 0.5000]],
  "e_form_raw_ev_per_fu": 3.7,
  "de_polymorph_ev_per_atom": 0.635,
  "m_tot_mub_per_fu": 2.0
}

(19)
{
  "formula": "BaCa2As",
  "functional": "PBE-GGA",
  "state": "relaxed",
  "lattice": [[5.7847, 0.0000, 0.0000], [2.8923, 5.0097, 0.0000], [2.8923, 1.6699, 4.7232]],
  "species": ["As", "Ca", "Ca", "Ba"],
  "fractional_positions": [[0.5000, 0.5000, 0.5000], [0.0000, 0.0000, 0.0000], [0.2500, 0.2500, 0.2500], [0.7500, 0.7500, 0.7500]],
  "m_tot_mub_per_fu": 0.0,
  "e_form_mev_per_atom": -202
}

(20)
{
  "formula": "LaAg2Bi2",
  "functional": "PBE-GGA",
  "state": "relaxed",
  "lattice": [[-0.6605, -2.2551, -8.3846], [-4.4541, -7.1300, 2.2685], [-3.0599, 1.8315, -0.2515]],
  "species": ["Ag", "Ag", "Ag", "Ag", "Bi", "Bi", "Bi", "Bi", "La", "La"],
  "fractional_positions": [[0.6461, 0.8539, 0.5000], [0.8539, 0.3539, 0.5000], [0.3539, 0.1461, 0.5000], [0.1461, 0.6461, 0.5000], [0.6508, 0.1508, 0.0000], [0.8492, 0.6508, 0.0000], [0.1508, 0.3492, 0.0000], [0.3492, 0.8492, 0.0000], [0.0000, 0.0000, 0.0000], [0.5000, 0.5000, 0.0000]],
  "de_polymorph_ev_per_atom": 0.273,
  "m_tot_mub_per_fu": 0.0,
  "e_form_mev_per_atom": -171
}